Below is a relaxed Tm2FeGe2Rh5 crystal, with properties calculated at the PBE-GGA level.

abc: 9.6094 9.6094 3.5690
angles: 90.00 90.00 90.00
Space group P4/mbm (No. 127)
Symmetry-distinct sites (fractional):
Tm  0.1726  0.3274  0.0000
Fe  0.0000  0.0000  0.0000
Ge  0.1271  0.6271  0.0000
Rh  0.0000  0.5000  0.5000
Rh  0.0660  0.7977  0.5000

Summary:
* VASP energy: -140.4 eV for the cell shown
* total moment: 7.58 Bohr magnetons per cell
* D(E_F): 8.04 states/eV per cell

Below is a relaxed VFeGeRh crystal, with properties calculated at the PBE-GGA level.

abc: 5.9447 5.9447 5.9447
angles: 90.00 90.00 90.00
Space group F-43m (No. 216)
Symmetry-distinct sites (fractional):
V  0.0000  0.0000  0.0000
Fe  0.2500  0.2500  0.2500
Ge  0.0000  0.0000  0.5000
Rh  0.2500  0.2500  0.7500

Summary:
* VASP energy: -122.2 eV for the cell shown
* total moment: 7.94 Bohr magnetons per cell
* D(E_F): 13.63 states/eV per cell

Below is a relaxed Y2FeGe2Rh5 crystal, with properties calculated at the PBE-GGA level.

abc: 9.6977 9.6977 3.5748
angles: 90.00 90.00 90.00
Space group P4/mbm (No. 127)
Symmetry-distinct sites (fractional):
Y  0.1733  0.3267  0.0000
Fe  0.0000  0.0000  0.0000
Ge  0.1263  0.6263  0.0000
Rh  0.0000  0.5000  0.5000
Rh  0.0651  0.7975  0.5000

Summary:
* VASP energy: -147.7 eV for the cell shown
* total moment: 7.58 Bohr magnetons per cell
* D(E_F): 8.38 states/eV per cell

Below is a relaxed FeGeRu2 crystal, with properties calculated at the PBE-GGA level.

abc: 5.4052 5.4052 10.4249
angles: 90.00 90.00 90.00
Space group I-42d (No. 122)
Symmetry-distinct sites (fractional):
Fe  0.0000  0.0000  0.0000
Ge  0.0000  0.0000  0.5000
Ru  0.2205  0.2500  0.1250

Summary:
* VASP energy: -112.7 eV for the cell shown
* total moment: 0.00 Bohr magnetons per cell
* D(E_F): 14.94 states/eV per cell

Below is a relaxed FeGe2Ru crystal, with properties calculated at the PBE-GGA level.

abc: 2.9771 2.9771 5.9293
angles: 90.00 90.00 90.00
Space group P4/mmm (No. 123)
Symmetry-distinct sites (fractional):
Fe  0.0000  0.0000  0.0000
Ge  0.5000  0.5000  0.2392
Ru  0.0000  0.0000  0.5000

Summary:
* VASP energy: -27.4 eV for the cell shown
* total moment: 0.00 Bohr magnetons per cell
* D(E_F): 1.09 states/eV per cell
* energy above the most stable polymorph in this dataset: 0 meV per atom

Below is a relaxed Fe2Ge2Ru crystal, with properties calculated at the PBE-GGA level.

abc: 6.6620 6.6620 3.0290
angles: 90.00 90.00 90.00
Space group P4/mbm (No. 127)
Symmetry-distinct sites (fractional):
Fe  0.1446  0.3554  0.0000
Ge  0.1512  0.6512  0.5000
Ru  0.0000  0.0000  0.5000

Summary:
* VASP energy: -70.5 eV for the cell shown
* total moment: 9.23 Bohr magnetons per cell
* D(E_F): 9.03 states/eV per cell

Below is a relaxed Fe3GeRu crystal, with properties calculated at the PBE-GGA level.

abc: 4.5969 4.5969 4.5969
angles: 90.00 90.00 90.00
Space group Pm-3m (No. 221)
Symmetry-distinct sites (fractional):
Fe  0.0000  0.0000  0.5000
Ge  0.5000  0.5000  0.5000
Ru  0.0000  0.0000  0.0000

Summary:
* VASP energy: -32.6 eV for the cell shown
* total moment: 9.53 Bohr magnetons per cell
* D(E_F): 5.88 states/eV per cell
* energy above the most stable polymorph in this dataset: 0 meV per atom

Below is a relaxed FeGe2Ru crystal, with properties calculated at the PBE-GGA level.

abc: 3.8335 3.8335 16.9180
angles: 90.00 90.00 90.00
Space group I-42d (No. 122)
Symmetry-distinct sites (fractional):
Fe  0.0000  0.0000  0.0000
Ge  0.2409  0.2500  0.1250
Ru  0.0000  0.0000  0.5000

Summary:
* VASP energy: -103.7 eV for the cell shown
* total moment: 11.13 Bohr magnetons per cell
* D(E_F): 13.49 states/eV per cell
* energy above the most stable polymorph in this dataset: 363 meV per atom